1.
# Er4Bi2SbP PBE-GGA optimized geometry
data_Er4Bi2SbP
_chemical_formula_sum 'Er4 Bi2 Sb1 P1'
_symmetry_space_group_name_H-M 'P 1 2/m 1'
_symmetry_Int_Tables_number 10
_cell_length_a 7.453
_cell_length_b 4.263
_cell_length_c 7.503
_cell_angle_alpha 90.00
_cell_angle_beta 108.99
_cell_angle_gamma 90.00
loop_
_symmetry_equiv_pos_as_xyz
'x,y,z'
'-x,-y,-z'
'-x,y,-z'
'x,-y,z'
loop_
_atom_site_label
_atom_site_type_symbol
_atom_site_fract_x
_atom_site_fract_y
_atom_site_fract_z
Er1 Er 0.230 0.000 0.226
Er2 Er 0.242 0.500 0.766
Bi1 Bi 0.000 0.000 0.500
Bi2 Bi 0.500 0.500 0.500
Sb1 Sb 0.500 0.000 0.000
P1 P 0.000 0.500 0.000
# - Raw total energy: -5.4757 eV per atom
# - Energy relative to the elements, uncorrected: -1.03 eV per atom
# - N(E_F): 1.35 states/eV/cell
# - V: 225.42 Å³ per cell

---

2.
# BaGeHW2 PBE-GGA optimized geometry
data_BaGeHW2
_chemical_formula_sum 'Ba1 Ge1 H1 W2'
_symmetry_space_group_name_H-M 'P 4/m m m'
_symmetry_Int_Tables_number 123
_symmetry_space_group_name_Hall '-P 4 2'
_cell_length_a 5.314
_cell_length_b 5.314
_cell_length_c 5.794
_cell_angle_alpha 90.00
_cell_angle_beta 90.00
_cell_angle_gamma 90.00
loop_
_atom_site_label
_atom_site_type_symbol
_atom_site_fract_x
_atom_site_fract_y
_atom_site_fract_z
Ba1 Ba 0.000 0.000 0.000
Ge1 Ge 0.000 0.000 0.500
H1 H 0.500 0.500 0.500
W1 W 0.000 0.500 0.000
# - Raw total energy: -3.4602 eV per atom
# - N(E_F): 3.89 states/eV/cell
# - V: 163.61 Å³ per cell